First-principles (SCAN) data for ZnSiRh2 at its PBEsol-relaxed geometry, as listed in Alexandria via LeMat-Bulk.

## Properties
The value obtained for the total magnetization is 0.0 μB/cell. As for the excess energy over the best structure of this formula in the dataset: 0.000 kcal/mol of atoms. The calculation puts the density of states at the Fermi level at 1.31 states/eV per cell. The calculation puts the total energy at -23.5429 eV/atom. The theoretical density is 9.69 g cm⁻³. The calculation puts the calculated volume at 12.83 Å³ per atom.

abc: 2.844 2.844 6.345
angles: 90.00 90.00 90.00
Fractional coordinates of all 4 atoms:
1 Zn 0.000 0.000 0.000
2 Si 0.000 0.000 0.500
3 Rh 0.500 0.500 0.276
4 Rh 0.500 0.500 0.724